Material: CePmSmEr
Method: DFT, PBE
State: relaxed

Lattice parameters (Å, degrees): 5.7167 5.7167 5.7167 60.00 60.00 60.00
Last column: nearest neighbours and their distance in Å.
Fractional coordinates of all 4 atoms:
Ce 0.0000 0.0000 0.0000  4 Sm 3.50, 4 Pm 3.50
Pm 0.2500 0.2500 0.2500  4 Ce 3.50, 4 Er 3.50
Sm 0.7500 0.7500 0.7500  4 Er 3.50, 4 Ce 3.50
Er 0.5000 0.5000 0.5000  4 Sm 3.50, 4 Pm 3.50

Calculated values
formation energy: 0.20 eV per atom

=====

Material: CePmSm2Er5
Method: DFT, PBE
State: relaxed

Lattice parameters (Å, degrees): 9.8085 9.8085 9.8085 127.67 127.67 77.16
Last column: nearest neighbours and their distance in Å.
Fractional coordinates of all 18 atoms:
Ce 0.2500 0.7500 0.5000  4 Er 3.03
Ce 0.7500 0.2500 0.5000  4 Er 3.03
Pm 0.2500 0.2500 0.0000  10 Er 3.55-3.83
Pm 0.7500 0.7500 0.0000  10 Er 3.55-3.83
Sm 0.1188 0.6188 0.7377  1 Sm 2.91, 2 Er 3.03
Sm 0.3812 0.1188 0.5000  1 Sm 2.91, 2 Er 3.03
Sm 0.6188 0.8812 0.5000  1 Sm 2.91, 2 Er 3.03
Sm 0.8812 0.3812 0.2623  1 Sm 2.91, 2 Er 3.03
Er 0.0000 0.0000 0.0000  4 Sm 3.45, 8 Er 3.76, 2 Pm 3.83
Er 0.0656 0.1585 0.5000  1 Ce 3.03, 1 Sm 3.03
Er 0.1585 0.6585 0.0929  1 Ce 3.03, 1 Sm 3.03
Er 0.3415 0.4344 0.5000  1 Ce 3.03, 1 Sm 3.03
Er 0.4344 0.9344 0.0929  1 Ce 3.03, 1 Sm 3.03
Er 0.5000 0.5000 0.0000  4 Sm 3.45, 8 Er 3.76, 2 Pm 3.83
Er 0.5656 0.0656 0.9071  1 Ce 3.03, 1 Sm 3.03
Er 0.6585 0.5656 0.5000  1 Ce 3.03, 1 Sm 3.03
Er 0.8415 0.3415 0.9071  1 Ce 3.03, 1 Sm 3.03
Er 0.9344 0.8415 0.5000  1 Ce 3.03, 1 Sm 3.03

Calculated values
formation energy: 0.27 eV per atom

=====

Material: CePmSm6Er2
Method: DFT, PBE
State: relaxed

Lattice parameters (Å, degrees): 6.6503 6.6503 8.9337 102.25 102.25 62.14
Last column: nearest neighbours and their distance in Å.
Fractional coordinates of all 10 atoms:
Ce 0.0000 0.0000 0.0000  6 Sm 3.43-3.65, 4 Er 3.77
Pm 0.5000 0.5000 0.5000  4 Sm 3.33, 2 Er 3.42
Sm 0.0928 0.5686 0.1977  2 Er 3.22-3.46, 3 Sm 3.27-3.60, 1 Pm 3.33, 1 Ce 3.43
Sm 0.1298 0.1298 0.4166  7 Sm 3.63-3.92, 1 Ce 3.65, 2 Pm 3.88
Sm 0.4314 0.9072 0.8023  2 Er 3.22-3.46, 3 Sm 3.27-3.60, 1 Pm 3.33, 1 Ce 3.43
Sm 0.5686 0.0928 0.1977  2 Er 3.22-3.46, 3 Sm 3.27-3.60, 1 Pm 3.33, 1 Ce 3.43
Sm 0.8702 0.8702 0.5834  7 Sm 3.63-3.92, 1 Ce 3.65, 2 Pm 3.88
Sm 0.9072 0.4314 0.8023  2 Er 3.22-3.46, 3 Sm 3.27-3.60, 1 Pm 3.33, 1 Ce 3.43
Er 0.4092 0.4092 0.8369  1 Er 3.13, 4 Sm 3.22-3.46, 1 Pm 3.42
Er 0.5908 0.5908 0.1631  1 Er 3.13, 4 Sm 3.22-3.46, 1 Pm 3.42

Calculated values
formation energy: 0.25 eV per atom

=====

Material: Ce2Pm3SmEr6
Method: DFT, PBE
State: relaxed

Lattice parameters (Å, degrees): 6.1648 6.1648 11.6884 95.04 95.04 119.99
Last column: nearest neighbours and their distance in Å.
Fractional coordinates of all 12 atoms:
Ce 0.1666 0.8334 0.0000  6 Er 3.50-3.51, 3 Ce 3.56, 3 Sm 3.56
Ce 0.8334 0.1666 0.0000  6 Er 3.50-3.51, 3 Ce 3.56, 3 Sm 3.56
Pm 0.0000 0.0000 0.5000  6 Er 3.55-3.57, 6 Pm 3.56-3.57
Pm 0.3341 0.6659 0.5000  6 Pm 3.54-3.57, 6 Er 3.56-3.57
Pm 0.6659 0.3341 0.5000  6 Pm 3.54-3.57, 6 Er 3.56-3.57
Sm 0.5000 0.5000 0.0000  6 Er 3.52, 6 Ce 3.56
Er 0.0817 0.4174 0.7528  2 Ce 3.50-3.51, 1 Sm 3.52, 6 Er 3.55-3.58, 3 Pm 3.56-3.57
Er 0.2469 0.2469 0.2472  2 Ce 3.51, 1 Sm 3.52, 6 Er 3.55-3.58, 3 Pm 3.55-3.56
Er 0.4174 0.0817 0.7528  2 Ce 3.50-3.51, 1 Sm 3.52, 6 Er 3.55-3.58, 3 Pm 3.56-3.57
Er 0.5826 0.9183 0.2472  2 Ce 3.50-3.51, 1 Sm 3.52, 6 Er 3.55-3.58, 3 Pm 3.56-3.57
Er 0.7531 0.7531 0.7528  2 Ce 3.51, 1 Sm 3.52, 6 Er 3.55-3.58, 3 Pm 3.55-3.56
Er 0.9183 0.5826 0.2472  2 Ce 3.50-3.51, 1 Sm 3.52, 6 Er 3.55-3.58, 3 Pm 3.56-3.57

Calculated values
formation energy: 0.04 eV per atom

=====

Material: CePm3Sm6Er2
Method: DFT, PBE
State: relaxed

Lattice parameters (Å, degrees): 6.2506 6.2506 11.9778 95.01 95.01 120.00
Last column: nearest neighbours and their distance in Å.
Fractional coordinates of all 12 atoms:
Ce 0.0000 0.0000 0.0000  6 Sm 3.57, 6 Er 3.61
Pm 0.1673 0.8327 0.5000  6 Pm 3.60-3.62, 6 Sm 3.64-3.65
Pm 0.5000 0.5000 0.5000  6 Pm 3.60-3.61, 6 Sm 3.64-3.65
Pm 0.8327 0.1673 0.5000  6 Pm 3.60-3.62, 6 Sm 3.64-3.65
Sm 0.0821 0.4137 0.2463  1 Ce 3.57, 2 Er 3.58, 6 Sm 3.59-3.62, 3 Pm 3.64-3.65
Sm 0.2495 0.2495 0.7536  1 Ce 3.57, 2 Er 3.58, 6 Sm 3.59-3.62, 3 Pm 3.64-3.65
Sm 0.4137 0.0821 0.2463  1 Ce 3.57, 2 Er 3.58, 6 Sm 3.59-3.62, 3 Pm 3.64-3.65
Sm 0.5863 0.9179 0.7537  1 Ce 3.57, 2 Er 3.58, 6 Sm 3.59-3.62, 3 Pm 3.64-3.65
Sm 0.7505 0.7505 0.2464  1 Ce 3.57, 2 Er 3.58, 6 Sm 3.59-3.62, 3 Pm 3.64-3.65
Sm 0.9179 0.5863 0.7537  1 Ce 3.57, 2 Er 3.58, 6 Sm 3.59-3.62, 3 Pm 3.64-3.65
Er 0.3334 0.6666 0.0000  6 Sm 3.58, 3 Er 3.61, 3 Ce 3.61
Er 0.6666 0.3334 0.0000  6 Sm 3.58, 3 Er 3.61, 3 Ce 3.61

Calculated values
formation energy: 0.04 eV per atom

=====

Material: CePmErSn
Method: DFT, PBE
State: relaxed

Lattice parameters (Å, degrees): 5.4113 5.4113 5.4113 60.00 60.00 60.00
Last column: nearest neighbours and their distance in Å.
Fractional coordinates of all 4 atoms:
Ce 0.0000 0.0000 0.0000  4 Er 3.31, 4 Pm 3.31
Pm 0.7500 0.7500 0.7500  4 Sn 3.31, 4 Ce 3.31
Er 0.2500 0.2500 0.2500  4 Ce 3.31, 4 Sn 3.31
Sn 0.5000 0.5000 0.5000  4 Er 3.31, 4 Pm 3.31

Calculated values
formation energy: -0.19 eV per atom

=====

Material: Tb5CePmEr2
Method: DFT, PBE
State: relaxed

Lattice parameters (Å, degrees): 11.1134 11.1134 9.5946 90.00 90.00 150.26
Last column: nearest neighbours and their distance in Å.
Fractional coordinates of all 18 atoms:
Tb 0.0129 0.9871 0.5000  1 Er 3.28, 2 Pm 3.48, 2 Tb 3.64
Tb 0.2672 0.7328 0.1825  1 Pm 3.05, 1 Er 3.30, 1 Ce 3.36
Tb 0.3055 0.6945 0.7999  2 Ce 3.39, 5 Tb 3.44-3.76, 1 Pm 3.49, 3 Er 3.50-3.66
Tb 0.3937 0.6063 0.4730  3 Tb 3.28-3.67, 4 Er 3.32-3.54
Tb 0.4708 0.5292 0.7676  2 Pm 3.20-3.42, 3 Tb 3.28-3.57, 2 Er 3.46
Tb 0.5292 0.4708 0.2676  2 Pm 3.20-3.42, 3 Tb 3.28-3.57, 2 Er 3.46
Tb 0.6063 0.3937 0.9730  3 Tb 3.28-3.67, 4 Er 3.32-3.54
Tb 0.6945 0.3055 0.2999  2 Ce 3.39, 5 Tb 3.44-3.76, 1 Pm 3.49, 3 Er 3.50-3.66
Tb 0.7328 0.2672 0.6825  1 Pm 3.05, 1 Er 3.30, 1 Ce 3.36
Tb 0.9871 0.0129 0.0000  1 Er 3.28, 2 Pm 3.48, 2 Tb 3.64
Ce 0.1933 0.8067 0.4911  2 Er 3.29-3.35, 5 Tb 3.36-3.50, 2 Pm 3.65
Ce 0.8067 0.1933 0.9911  2 Er 3.29-3.35, 5 Tb 3.36-3.50, 2 Pm 3.65
Pm 0.4032 0.5968 0.0902  3 Tb 3.05-3.42
Pm 0.5968 0.4032 0.5902  3 Tb 3.05-3.42
Er 0.1136 0.8864 0.1909  8 Tb 3.28-3.54, 1 Ce 3.35
Er 0.1350 0.8650 0.8078  1 Ce 3.29, 4 Tb 3.32-3.67, 2 Pm 3.63
Er 0.8650 0.1350 0.3078  1 Ce 3.29, 4 Tb 3.32-3.67, 2 Pm 3.63
Er 0.8864 0.1136 0.6909  8 Tb 3.28-3.54, 1 Ce 3.35

Calculated values
formation energy: 0.17 eV per atom

=====

Material: Tb6Ce2Pm3Er
Method: DFT, PBE
State: relaxed

Lattice parameters (Å, degrees): 6.1866 6.1866 11.8136 95.01 95.01 119.99
Last column: nearest neighbours and their distance in Å.
Fractional coordinates of all 12 atoms:
Tb 0.0824 0.4176 0.7541  2 Ce 3.52-3.53, 1 Er 3.53, 6 Tb 3.56-3.59, 3 Pm 3.60-3.61
Tb 0.2471 0.2471 0.2462  2 Ce 3.52, 1 Er 3.54, 6 Tb 3.56-3.59, 3 Pm 3.60
Tb 0.4176 0.0824 0.7541  2 Ce 3.52-3.53, 1 Er 3.53, 6 Tb 3.56-3.59, 3 Pm 3.60-3.61
Tb 0.5824 0.9176 0.2459  2 Ce 3.52-3.53, 1 Er 3.53, 6 Tb 3.56-3.59, 3 Pm 3.60-3.61
Tb 0.7529 0.7529 0.7538  2 Ce 3.52, 1 Er 3.54, 6 Tb 3.56-3.59, 3 Pm 3.60
Tb 0.9176 0.5824 0.2459  2 Ce 3.52-3.53, 1 Er 3.53, 6 Tb 3.56-3.59, 3 Pm 3.60-3.61
Ce 0.1664 0.8336 0.0000  6 Tb 3.52-3.53, 3 Ce 3.57, 3 Er 3.57
Ce 0.8336 0.1664 0.0000  6 Tb 3.52-3.53, 3 Ce 3.57, 3 Er 3.57
Pm 0.0000 0.0000 0.5000  6 Pm 3.57-3.58, 6 Tb 3.60-3.61
Pm 0.3339 0.6661 0.5000  6 Pm 3.56-3.58, 6 Tb 3.60-3.61
Pm 0.6661 0.3339 0.5000  6 Pm 3.56-3.58, 6 Tb 3.60-3.61
Er 0.5000 0.5000 0.0000  6 Tb 3.53-3.54, 6 Ce 3.57

Calculated values
formation energy: 0.05 eV per atom

=====

Material: Tb2CePmEr5
Method: DFT, PBE
State: relaxed

Lattice parameters (Å, degrees): 11.0554 11.0554 9.5588 90.00 90.00 150.30
Last column: nearest neighbours and their distance in Å.
Fractional coordinates of all 18 atoms:
Tb 0.1130 0.8870 0.5000  9 Er 3.27-3.63, 1 Ce 3.37
Tb 0.1372 0.8628 0.1175  1 Ce 3.28, 3 Er 3.31-3.64, 2 Pm 3.63
Tb 0.8628 0.1372 0.6175  1 Ce 3.28, 3 Er 3.31-3.64, 2 Pm 3.63
Tb 0.8870 0.1130 0.0000  9 Er 3.27-3.63, 1 Ce 3.37
Ce 0.1955 0.8045 0.8001  2 Tb 3.28-3.37, 5 Er 3.35-3.45, 2 Pm 3.65
Ce 0.8045 0.1955 0.3001  2 Tb 3.28-3.37, 5 Er 3.35-3.45, 2 Pm 3.65
Pm 0.4034 0.5966 0.3974  3 Er 3.06-3.39
Pm 0.5966 0.4034 0.8974  3 Er 3.06-3.39
Er 0.0132 0.9868 0.8070  2 Tb 3.27-3.63, 2 Pm 3.46, 2 Er 3.60
Er 0.2659 0.7341 0.4865  1 Pm 3.06, 1 Tb 3.27, 1 Ce 3.35
Er 0.3075 0.6925 0.1050  3 Ce 3.39-3.77, 5 Er 3.43-3.75, 3 Tb 3.45-3.64, 1 Pm 3.47
Er 0.3943 0.6057 0.7817  3 Er 3.27-3.61, 4 Tb 3.31-3.52
Er 0.4715 0.5285 0.0770  2 Pm 3.18-3.39, 3 Er 3.27-3.52, 2 Tb 3.44
Er 0.5285 0.4715 0.5770  2 Pm 3.18-3.39, 3 Er 3.27-3.52, 2 Tb 3.44
Er 0.6057 0.3943 0.2817  3 Er 3.27-3.61, 4 Tb 3.31-3.52
Er 0.6925 0.3075 0.6050  3 Ce 3.39-3.77, 5 Er 3.43-3.75, 3 Tb 3.45-3.64, 1 Pm 3.47
Er 0.7341 0.2659 0.9865  1 Pm 3.06, 1 Tb 3.27, 1 Ce 3.35
Er 0.9868 0.0132 0.3070  2 Tb 3.27-3.63, 2 Pm 3.46, 2 Er 3.60

Calculated values
formation energy: 0.17 eV per atom

=====

Material: Tb4CePmEr2
Method: DFT, PBE
State: relaxed

Lattice parameters (Å, degrees): 5.0247 5.0355 10.0440 90.00 90.00 90.00
Last column: nearest neighbours and their distance in Å.
Fractional coordinates of all 8 atoms:
Tb 0.0000 0.0000 0.2469  4 Er 3.53-3.58, 2 Ce 3.53, 4 Tb 3.56, 2 Pm 3.57
Tb 0.0000 0.0000 0.7531  4 Er 3.53-3.58, 2 Ce 3.53, 4 Tb 3.56, 2 Pm 3.57
Tb 0.5000 0.5000 0.2474  2 Ce 3.53, 4 Er 3.54-3.57, 4 Tb 3.56, 2 Pm 3.57
Tb 0.5000 0.5000 0.7526  2 Ce 3.53, 4 Er 3.54-3.57, 4 Tb 3.56, 2 Pm 3.57
Ce 0.0000 0.5000 0.0000  8 Tb 3.53, 4 Er 3.56
Pm 0.5000 0.0000 0.5000  4 Er 3.56, 8 Tb 3.57
Er 0.0000 0.5000 0.5000  4 Pm 3.56, 8 Tb 3.57-3.58
Er 0.5000 0.0000 0.0000  8 Tb 3.53-3.54, 4 Ce 3.56

Calculated values
formation energy: 0.05 eV per atom